DFT (PBE) results for a relaxed Pr7Nd2In2 crystal.

a = 8.8551 Å, b = 6.5789 Å, c = 6.5789 Å
α = 92.60°, β = 99.57°, γ = 99.57°
Positions (direct):
Pr 0.7129 0.9293 0.5505
Pr 0.2871 0.4495 0.0707
Pr 0.2871 0.0707 0.4495
Pr 0.7129 0.5505 0.9293
Pr 0.5000 0.0000 0.0000
Pr 0.0709 0.8349 0.8349
Pr 0.9291 0.1651 0.1651
Nd 0.6569 0.4005 0.4005
Nd 0.3431 0.5995 0.5995
In 0.0000 0.3229 0.6771
In 0.0000 0.6771 0.3229

Results
E: -4.5325 eV/atom
total moment: 0.00 Bohr magnetons per cell
theoretical density: 6.72 g/cm³
space-group type: No. 12

DFT (PBE) results for a relaxed HoSc3S4 crystal.

a = 3.7280 Å, b = 6.4945 Å, c = 6.4945 Å
α = 109.27°, β = 90.00°, γ = 90.00°
Positions (direct):
Ho 0.5000 0.0000 0.0000
Sc 0.0000 0.0000 0.5000
Sc 0.5000 0.5000 0.5000
Sc 0.0000 0.5000 0.0000
S 0.0000 0.2598 0.2598
S 0.5000 0.7452 0.2548
S 0.0000 0.7402 0.7402
S 0.5000 0.2548 0.7452

Results
total moment: 0.00 Bohr magnetons per cell
theoretical density: 4.79 g/cm³
formation energy from raw total energies: -1.885 eV per atom
space-group type: No. 65